Record 1
A plane-wave DFT calculation with PBE-GGA was carried out for an optimized crystal structure of LiPrGe2Pd2.

abc: 4.3043 4.3043 6.9138
angles: 90.00 90.00 120.00
With the nearest neighbours (Å) after each atom.
Positions (direct):
Li 0.0000 0.0000 0.0000  6 Pd 2.67, 6 Ge 2.94
Pr 0.0000 0.0000 0.5000  6 Ge 3.12, 2 Li 3.46
Ge 0.3333 0.6667 0.7726  4 Pd 2.55-2.56
Ge 0.6667 0.3333 0.2274  4 Pd 2.55-2.56
Pd 0.3333 0.6667 0.1414  4 Ge 2.55-2.56, 3 Li 2.67
Pd 0.6667 0.3333 0.8586  4 Ge 2.55-2.56, 3 Li 2.67

Values from the calculation:
**DOS(E_F)**: 1.27 states/eV/f.u.
**Calculated formation energy**: -0.78 eV/atom
**Symmetry**: P-3m1, No. 164

***

Record 2
A plane-wave DFT calculation with PBE-GGA was carried out for an optimized crystal structure of LiGePdPt2.

abc: 4.9305 4.9305 4.2033
angles: 90.00 90.00 90.00
With the nearest neighbours (Å) after each atom.
Positions (direct):
Li 0.0000 0.0000 0.0000  2 Pd 2.10
Ge 0.5000 0.5000 0.0000  8 Pt 3.24, 4 Li 3.49
Pd 0.0000 0.0000 0.5000  2 Li 2.10
Pt 0.0000 0.5000 0.5000  2 Pd 2.47
Pt 0.5000 0.0000 0.5000  2 Pd 2.47

Values from the calculation:
**DOS(E_F)**: 6.19 states/eV/f.u.
**Calculated formation energy**: 0.64 eV/atom
**Symmetry**: P4/mmm, No. 123

***

Record 3
A plane-wave DFT calculation with PBE-GGA was carried out for an optimized crystal structure of Li2Ge4PdPt3.

abc: 4.0744 4.0744 10.8845
angles: 90.00 90.00 90.00
With the nearest neighbours (Å) after each atom.
Positions (direct):
Li 0.0000 0.5000 0.2385  4 Ge 3.08, 6 Pt 3.18-3.30, 2 Pd 3.30
Li 0.5000 0.0000 0.7615  4 Ge 3.08, 6 Pt 3.18-3.30, 2 Pd 3.30
Ge 0.0000 0.0000 0.5000  4 Pt 2.54
Ge 0.0000 0.5000 0.8619  3 Pt 2.43-2.53, 2 Pd 2.53
Ge 0.5000 0.0000 0.1381  3 Pt 2.43-2.53, 2 Pd 2.53
Ge 0.5000 0.5000 0.5000  4 Pt 2.54
Pd 0.5000 0.5000 0.0000  4 Ge 2.53
Pt 0.0000 0.0000 0.0000  4 Ge 2.53
Pt 0.0000 0.5000 0.6387  5 Ge 2.43-2.54
Pt 0.5000 0.0000 0.3613  5 Ge 2.43-2.54

Values from the calculation:
**DOS(E_F)**: 3.50 states/eV/f.u.
**Calculated formation energy**: -0.47 eV/atom
**Symmetry**: P-4m2, No. 115

***

Record 4
A plane-wave DFT calculation with PBE-GGA was carried out for an optimized crystal structure of Li2Ge4Pd3Pt.

abc: 3.9852 3.9852 11.2444
angles: 90.00 90.00 90.00
With the nearest neighbours (Å) after each atom.
Positions (direct):
Li 0.0000 0.5000 0.2448  4 Ge 3.06, 6 Pd 3.08-3.40, 2 Pt 3.40
Li 0.5000 0.0000 0.7552  4 Ge 3.06, 6 Pd 3.08-3.40, 2 Pt 3.40
Ge 0.0000 0.0000 0.5000  4 Pd 2.57, 4 Ge 2.82
Ge 0.0000 0.5000 0.8611  3 Pd 2.43-2.53, 2 Pt 2.53
Ge 0.5000 0.0000 0.1389  3 Pd 2.43-2.53, 2 Pt 2.53
Ge 0.5000 0.5000 0.5000  4 Pd 2.57, 4 Ge 2.82
Pd 0.0000 0.0000 0.0000  4 Ge 2.53, 4 Pt 2.82
Pd 0.0000 0.5000 0.6449  5 Ge 2.43-2.57
Pd 0.5000 0.0000 0.3551  5 Ge 2.43-2.57
Pt 0.5000 0.5000 0.0000  4 Ge 2.53, 4 Pd 2.82

Values from the calculation:
**DOS(E_F)**: 4.78 states/eV/f.u.
**Calculated formation energy**: -0.41 eV/atom
**Symmetry**: P-4m2, No. 115

***

Record 5
A plane-wave DFT calculation with PBE-GGA was carried out for an optimized crystal structure of LiGePdPt.

abc: 4.2999 4.2999 4.2999
angles: 60.00 60.00 60.00
With the nearest neighbours (Å) after each atom.
Positions (direct):
Li 0.0000 0.0000 0.0000  4 Pt 2.63, 4 Pd 2.63
Ge 0.5000 0.5000 0.5000  4 Pd 2.63, 4 Pt 2.63
Pd 0.7500 0.7500 0.7500  4 Ge 2.63, 4 Li 2.63
Pt 0.2500 0.2500 0.2500  4 Ge 2.63, 4 Li 2.63

Values from the calculation:
**DOS(E_F)**: 3.67 states/eV/f.u.
**Calculated formation energy**: -0.60 eV/atom
**Symmetry**: F-43m, No. 216

***

Record 6
A plane-wave DFT calculation with PBE-GGA was carried out for an optimized crystal structure of Li2GePdPt.

abc: 4.4849 4.4849 4.5259
angles: 90.00 90.00 90.00
With the nearest neighbours (Å) after each atom.
Positions (direct):
Li 0.0000 0.5000 0.0000  2 Ge 2.24
Li 0.5000 0.0000 0.0000  2 Ge 2.24
Ge 0.0000 0.0000 0.0000  4 Li 2.24, 2 Pd 2.26
Pd 0.0000 0.0000 0.5000  2 Ge 2.26
Pt 0.5000 0.5000 0.5000  4 Pd 3.17, 8 Li 3.19

Values from the calculation:
**DOS(E_F)**: 2.70 states/eV/f.u.
**Calculated formation energy**: 0.32 eV/atom
**Symmetry**: P4/mmm, No. 123

***

Record 7
A plane-wave DFT calculation with PBE-GGA was carried out for an optimized crystal structure of LiPuGePd.

abc: 4.6762 4.6762 4.6762
angles: 60.00 60.00 60.00
With the nearest neighbours (Å) after each atom.
Positions (direct):
Li 0.0000 0.0000 0.0000  4 Ge 2.86, 4 Pu 2.86
Pu 0.2500 0.2500 0.2500  4 Pd 2.86, 4 Li 2.86
Ge 0.7500 0.7500 0.7500  4 Pd 2.86, 4 Li 2.86
Pd 0.5000 0.5000 0.5000  4 Ge 2.86, 4 Pu 2.86

Values from the calculation:
**DOS(E_F)**: 8.31 states/eV/f.u.
**Calculated formation energy**: -0.38 eV/atom
**Symmetry**: F-43m, No. 216

***

Record 8
A plane-wave DFT calculation with PBE-GGA was carried out for an optimized crystal structure of LiPu2Ge3Pd4.

abc: 4.1387 4.1387 10.8728
angles: 90.00 90.00 90.00
With the nearest neighbours (Å) after each atom.
Positions (direct):
Li 0.0000 0.0000 0.0000  4 Pd 2.54
Pu 0.0000 0.5000 0.7513  8 Pd 3.17-3.43, 6 Ge 3.19-3.40, 2 Li 3.40
Pu 0.5000 0.0000 0.2487  8 Pd 3.17-3.43, 6 Ge 3.19-3.40, 2 Li 3.40
Ge 0.0000 0.5000 0.3645  5 Pd 2.48-2.54
Ge 0.5000 0.0000 0.6355  5 Pd 2.48-2.54
Ge 0.5000 0.5000 0.0000  4 Pd 2.54
Pd 0.0000 0.0000 0.5000  4 Ge 2.54
Pd 0.0000 0.5000 0.1361  3 Ge 2.48-2.54, 2 Li 2.54
Pd 0.5000 0.0000 0.8639  3 Ge 2.48-2.54, 2 Li 2.54
Pd 0.5000 0.5000 0.5000  4 Ge 2.54

Values from the calculation:
**DOS(E_F)**: 27.44 states/eV/f.u.
**Calculated formation energy**: -0.59 eV/atom
**Symmetry**: P-4m2, No. 115

***

Record 9
A plane-wave DFT calculation with PBE-GGA was carried out for an optimized crystal structure of LiPuGe2Pd.

abc: 6.1970 6.1970 6.1970
angles: 141.44 141.44 55.67
With the nearest neighbours (Å) after each atom.
Positions (direct):
Li 0.0000 0.0000 0.0000  4 Ge 2.54
Pu 0.2500 0.7500 0.5000  8 Ge 3.14, 4 Pd 3.42, 4 Li 3.42
Ge 0.6380 0.1380 0.5000  1 Ge 2.46, 2 Li 2.54, 2 Pd 2.54
Ge 0.8620 0.3620 0.5000  1 Ge 2.46, 2 Pd 2.54, 2 Li 2.54
Pd 0.5000 0.5000 0.0000  4 Ge 2.54

Values from the calculation:
**DOS(E_F)**: 12.43 states/eV/f.u.
**Calculated formation energy**: -0.53 eV/atom
**Symmetry**: I-4m2, No. 119

***

Record 10
A plane-wave DFT calculation with PBE-GGA was carried out for an optimized crystal structure of Li2ReGePd.

abc: 4.7413 4.7413 4.7372
angles: 90.00 90.00 90.00
With the nearest neighbours (Å) after each atom.
Positions (direct):
Li 0.0000 0.5000 0.0000  2 Re 2.37
Li 0.5000 0.0000 0.0000  2 Re 2.37
Re 0.0000 0.0000 0.0000  2 Pd 2.37, 4 Li 2.37
Ge 0.5000 0.5000 0.5000  8 Li 3.35, 4 Pd 3.35
Pd 0.0000 0.0000 0.5000  2 Re 2.37

Values from the calculation:
**DOS(E_F)**: 5.18 states/eV/f.u.
**Calculated formation energy**: 1.24 eV/atom
**Symmetry**: P4/mmm, No. 123

***

Record 11
A plane-wave DFT calculation with PBE-GGA was carried out for an optimized crystal structure of LiGeSbPd.

abc: 4.6815 4.6815 4.6815
angles: 60.00 60.00 60.00
With the nearest neighbours (Å) after each atom.
Positions (direct):
Li 0.0000 0.0000 0.0000  4 Ge 2.87, 4 Sb 2.87
Ge 0.2500 0.2500 0.2500  4 Pd 2.87, 4 Li 2.87
Sb 0.7500 0.7500 0.7500  4 Li 2.87, 4 Pd 2.87
Pd 0.5000 0.5000 0.5000  4 Sb 2.87, 4 Ge 2.87

Values from the calculation:
**DOS(E_F)**: 1.34 states/eV/f.u.
**Raw formation energy**: -0.32 eV/atom
**Symmetry**: F-43m, No. 216

***

Record 12
A plane-wave DFT calculation with PBE-GGA was carried out for an optimized crystal structure of LiSiGePd.

abc: 4.3890 4.3890 4.3890
angles: 60.00 60.00 60.00
With the nearest neighbours (Å) after each atom.
Positions (direct):
Li 0.0000 0.0000 0.0000  4 Si 2.69, 4 Ge 2.69
Si 0.7500 0.7500 0.7500  4 Li 2.69, 4 Pd 2.69
Ge 0.2500 0.2500 0.2500  4 Li 2.69, 4 Pd 2.69
Pd 0.5000 0.5000 0.5000  4 Si 2.69, 4 Ge 2.69

Values from the calculation:
**DOS(E_F)**: 2.53 states/eV/f.u.
**Raw formation energy**: -0.24 eV/atom
**Symmetry**: F-43m, No. 216

***

Record 13
A plane-wave DFT calculation with PBE-GGA was carried out for an optimized crystal structure of LiSmGePd.

abc: 4.6798 4.6798 4.6798
angles: 60.00 60.00 60.00
With the nearest neighbours (Å) after each atom.
Positions (direct):
Li 0.0000 0.0000 0.0000  4 Ge 2.87, 4 Sm 2.87
Sm 0.2500 0.2500 0.2500  4 Pd 2.87, 4 Li 2.87
Ge 0.7500 0.7500 0.7500  4 Pd 2.87, 4 Li 2.87
Pd 0.5000 0.5000 0.5000  4 Ge 2.87, 4 Sm 2.87

Values from the calculation:
**Calculated formation energy**: -0.70 eV/atom
**Symmetry**: F-43m, No. 216

***

Record 14
A plane-wave DFT calculation with PBE-GGA was carried out for an optimized crystal structure of LiSm2Ge3Pd4.

abc: 4.2618 4.2618 10.3158
angles: 90.00 90.00 90.00
With the nearest neighbours (Å) after each atom.
Positions (direct):
Li 0.0000 0.0000 0.0000  4 Pd 2.50
Sm 0.0000 0.5000 0.7483  6 Ge 3.23-3.36, 8 Pd 3.28-3.33, 2 Li 3.36
Sm 0.5000 0.0000 0.2517  6 Ge 3.23-3.36, 8 Pd 3.28-3.33, 2 Li 3.36
Ge 0.0000 0.5000 0.3643  5 Pd 2.45-2.55
Ge 0.5000 0.0000 0.6357  5 Pd 2.45-2.55
Ge 0.5000 0.5000 0.0000  4 Pd 2.50
Pd 0.0000 0.0000 0.5000  4 Ge 2.55
Pd 0.0000 0.5000 0.1271  3 Ge 2.45-2.50, 2 Li 2.50
Pd 0.5000 0.0000 0.8729  3 Ge 2.45-2.50, 2 Li 2.50
Pd 0.5000 0.5000 0.5000  4 Ge 2.55

Values from the calculation:
**DOS(E_F)**: 5.46 states/eV/f.u.
**Calculated formation energy**: -0.80 eV/atom
**Symmetry**: P-4m2, No. 115

***

Record 15
A plane-wave DFT calculation with PBE-GGA was carried out for an optimized crystal structure of LiSm3Ge6Pd2.

abc: 5.9702 5.9702 8.1391
angles: 90.00 90.00 120.00
With the nearest neighbours (Å) after each atom.
Positions (direct):
Li 0.0000 0.0000 0.0000  6 Ge 2.63
Sm 0.0000 0.0000 0.5000  6 Ge 3.00
Sm 0.3333 0.6667 0.1184  9 Ge 3.10-3.13, 1 Pd 3.29
Sm 0.6667 0.3333 0.8816  9 Ge 3.10-3.13, 1 Pd 3.29
Ge 0.1870 0.3741 0.7814  1 Pd 2.59, 2 Ge 2.62, 1 Li 2.63
Ge 0.1870 0.8130 0.7814  1 Pd 2.59, 2 Ge 2.62, 1 Li 2.63
Ge 0.3741 0.1870 0.2186  1 Pd 2.59, 2 Ge 2.62, 1 Li 2.63
Ge 0.6259 0.8130 0.7814  1 Pd 2.59, 2 Ge 2.62, 1 Li 2.63
Ge 0.8130 0.1870 0.2186  1 Pd 2.59, 2 Ge 2.62, 1 Li 2.63
Ge 0.8130 0.6259 0.2186  1 Pd 2.59, 2 Ge 2.62, 1 Li 2.63
Pd 0.3333 0.6667 0.5233  3 Ge 2.59
Pd 0.6667 0.3333 0.4767  3 Ge 2.59

Values from the calculation:
**DOS(E_F)**: 4.24 states/eV/f.u.
**Calculated formation energy**: -0.49 eV/atom
**Symmetry**: P-3m1, No. 164

***

Record 16
A plane-wave DFT calculation with PBE-GGA was carried out for an optimized crystal structure of LiSm2Ge4Pd3.

abc: 4.2614 4.2614 10.4802
angles: 90.00 90.00 90.00
With the nearest neighbours (Å) after each atom.
Positions (direct):
Li 0.0000 0.0000 0.0000  4 Ge 2.55
Sm 0.0000 0.5000 0.7538  8 Ge 3.23-3.41, 6 Pd 3.28-3.35, 2 Li 3.35
Sm 0.5000 0.0000 0.2462  8 Ge 3.23-3.41, 6 Pd 3.28-3.35, 2 Li 3.35
Ge 0.0000 0.0000 0.5000  4 Pd 2.53
Ge 0.0000 0.5000 0.1343  3 Pd 2.46-2.55, 2 Li 2.55
Ge 0.5000 0.0000 0.8657  3 Pd 2.46-2.55, 2 Li 2.55
Ge 0.5000 0.5000 0.5000  4 Pd 2.53
Pd 0.0000 0.5000 0.3695  5 Ge 2.46-2.53
Pd 0.5000 0.0000 0.6305  5 Ge 2.46-2.53
Pd 0.5000 0.5000 0.0000  4 Ge 2.55

Values from the calculation:
**DOS(E_F)**: 4.30 states/eV/f.u.
**Calculated formation energy**: -0.75 eV/atom
**Symmetry**: P-4m2, No. 115

***

Record 17
A plane-wave DFT calculation with PBE-GGA was carried out for an optimized crystal structure of Li2SnGe2Pd2.

abc: 4.3476 4.3476 7.4557
angles: 106.66 106.66 59.69
With the nearest neighbours (Å) after each atom.
Positions (direct):
Li 0.1385 0.1385 0.4210  3 Ge 2.63-2.64, 3 Pd 2.67-2.94, 3 Li 2.72-2.76
Li 0.8615 0.8615 0.5790  3 Ge 2.63-2.64, 3 Pd 2.67-2.94, 3 Li 2.72-2.76
Sn 0.0000 0.0000 0.0000  6 Pd 2.87-2.89, 2 Li 2.96
Ge 0.4321 0.4321 0.3057  3 Pd 2.61-2.62, 3 Li 2.63-2.64, 1 Ge 2.74
Ge 0.5679 0.5679 0.6943  3 Pd 2.61-2.62, 3 Li 2.63-2.64, 1 Ge 2.74
Pd 0.2696 0.2696 0.8000  3 Ge 2.61-2.62, 1 Li 2.67, 3 Sn 2.87-2.89
Pd 0.7304 0.7304 0.2000  3 Ge 2.61-2.62, 1 Li 2.67, 3 Sn 2.87-2.89

Values from the calculation:
**DOS(E_F)**: 2.83 states/eV/f.u.
**Calculated formation energy**: -0.42 eV/atom
**Symmetry**: C2/m, No. 12

***

Record 18
A plane-wave DFT calculation with PBE-GGA was carried out for an optimized crystal structure of LiSnGePd.

abc: 4.6379 4.6379 4.6379
angles: 60.00 60.00 60.00
With the nearest neighbours (Å) after each atom.
Positions (direct):
Li 0.0000 0.0000 0.0000  4 Ge 2.84, 4 Sn 2.84
Sn 0.2500 0.2500 0.2500  4 Li 2.84, 4 Pd 2.84
Ge 0.7500 0.7500 0.7500  4 Li 2.84, 4 Pd 2.84
Pd 0.5000 0.5000 0.5000  4 Ge 2.84, 4 Sn 2.84

Values from the calculation:
**DOS(E_F)**: 3.60 states/eV/f.u.
**Calculated formation energy**: -0.32 eV/atom
**Symmetry**: F-43m, No. 216

***

Record 19
A plane-wave DFT calculation with PBE-GGA was carried out for an optimized crystal structure of SrLiGePd2.

abc: 4.8380 4.8380 4.7040
angles: 90.00 90.00 90.00
With the nearest neighbours (Å) after each atom.
Positions (direct):
Sr 0.0000 0.0000 0.0000  8 Pd 3.37, 4 Li 3.42
Li 0.5000 0.5000 0.0000  2 Ge 2.35
Ge 0.5000 0.5000 0.5000  2 Li 2.35, 4 Pd 2.42
Pd 0.0000 0.5000 0.5000  2 Ge 2.42
Pd 0.5000 0.0000 0.5000  2 Ge 2.42

Values from the calculation:
**DOS(E_F)**: 2.69 states/eV/f.u.
**Calculated formation energy**: -0.44 eV/atom
**Symmetry**: P4/mmm, No. 123

***

Record 20
A plane-wave DFT calculation with PBE-GGA was carried out for an optimized crystal structure of SrLi2GePd.

abc: 4.8669 4.8669 4.8060
angles: 90.00 90.00 90.00
With the nearest neighbours (Å) after each atom.
Positions (direct):
Sr 0.0000 0.0000 0.0000  8 Li 3.42, 4 Ge 3.44
Li 0.0000 0.5000 0.5000  2 Pd 2.43
Li 0.5000 0.0000 0.5000  2 Pd 2.43
Ge 0.5000 0.5000 0.0000  2 Pd 2.40
Pd 0.5000 0.5000 0.5000  2 Ge 2.40, 4 Li 2.43

Values from the calculation:
**Offset from the most stable computed form**: 0 meV per atom
**DOS(E_F)**: 2.49 states/eV/f.u.
**Calculated formation energy**: -0.37 eV/atom
**Symmetry**: P4/mmm, No. 123

***

Going through the records in order, we get energy values of -5.168, -4.118, -5.033, -4.800, -5.046, -3.618, -6.897, -7.105, -6.669, -3.976, -4.281, -4.531, -4.808, -5.398, -5.001, -5.286, -4.339, -4.254, -4.164, -3.435 eV per atom.